[1]
Material: InPd2C
Method: DFT, GGA-PBE
State: relaxed

Cell: 5.328 5.482 5.486 Å, 90.34 97.65 112.06°
Atoms (fractional coordinates):
In (0.000, 0.000, 0.000)
In (0.012, 0.528, 0.464)
Pd (0.496, 0.933, 0.750)
Pd (0.524, 0.442, 0.622)
Pd (0.571, 0.588, 0.127)
Pd (0.578, 0.092, 0.256)
C (0.428, 0.232, 0.927)
C (0.469, 0.744, 0.421)

Total energy in eV per atom: -5.20

***

[2]
Material: InPdC3
Method: DFT, GGA-PBE
State: relaxed

Cell: 4.112 4.112 4.112 Å, 90.00 90.00 90.00°
Atoms (fractional coordinates):
In (0.000, 0.000, 0.000)
Pd (0.500, 0.500, 0.500)
C (0.000, 0.500, 0.500)
C (0.500, 0.000, 0.500)
C (0.500, 0.500, 0.000)

Total energy in eV per atom: -4.64

***

[3]
Material: InPd2C
Method: DFT, GGA-PBE
State: relaxed

Cell: 5.328 5.312 4.070 Å, 67.72 67.30 44.98°
Atoms (fractional coordinates):
In (0.000, 0.000, 0.000)
Pd (0.205, 0.205, 0.295)
Pd (0.705, 0.705, 0.795)
C (0.752, 0.752, 0.248)

Total energy in eV per atom: -5.21

***

[4]
Material: InPd2C
Method: DFT, GGA-PBE
State: relaxed

Cell: 3.972 5.751 5.751 Å, 30.21 90.00 90.00°
Atoms (fractional coordinates):
In (0.000, 0.000, 0.000)
Pd (0.000, 0.713, 0.713)
Pd (0.500, 0.360, 0.360)
C (0.500, 0.730, 0.730)

Total energy in eV per atom: -5.21

***

Short version: relative energy among the computed polymorphs = 41; 0; 33; 38 meV/atom, in the order given.
Short version: E_form = 385; 2478; 378; 382 meV/atom, in the order given.
Short version: ρ = 7.679; 6.146; 7.610; 8.534 g/cm3, in the order given.